[1]
Compound: Ag2Sn2Br
Source: the Alexandria database
Functional: PBEsol
Structure: optimized geometry

Values from the calculation:
calculated total energy = -3.25 eV/atom
magnetization = 0.00 μB per formula unit
calculated density = 7.32 g/cm³

Unit cell a=4.245 b=4.245 c=7.354 alpha=106.77 beta=106.77 gamma=90.00
Positions (direct):
Sn1 0.750 0.250 0.500
Sn2 0.250 0.750 0.500
Ag1 0.398 0.398 0.795
Ag2 0.602 0.602 0.205
Br1 0.000 0.000 0.000



[2]
Compound: Sr2AgBr
Source: the Alexandria database
Functional: PBEsol
Structure: optimized geometry

Values from the calculation:
calculated total energy = -2.85 eV/atom
magnetization = 0.00 μB per formula unit
calculated density = 4.63 g/cm³
energy above the lowest structure with this stoichiometry = 221 meV/atom

Unit cell a=4.464 b=4.464 c=7.251 alpha=107.93 beta=107.93 gamma=90.00
Positions (direct):
Sr1 0.000 0.000 0.000
Sr2 0.750 0.250 0.500
Ag1 0.500 0.500 0.000
Br1 0.250 0.750 0.500



[3]
Compound: Sr2AgBr
Source: the Alexandria database
Functional: PBEsol
Structure: optimized geometry

Values from the calculation:
calculated total energy = -3.07 eV/atom
magnetization = 0.00 μB per formula unit
calculated density = 4.54 g/cm³
energy above the lowest structure with this stoichiometry = 0 meV/atom

Unit cell a=4.351 b=4.351 c=8.488 alpha=75.15 beta=75.15 gamma=60.00
Positions (direct):
Br1 0.500 0.500 0.500
Sr1 0.258 0.258 0.227
Sr2 0.742 0.742 0.773
Ag1 0.000 0.000 0.000



[4]
Compound: Sr2AgBr
Source: the Alexandria database
Functional: PBEsol
Structure: optimized geometry

Values from the calculation:
calculated total energy = -3.02 eV/atom
magnetization = 0.01 μB per formula unit
calculated density = 4.60 g/cm³
energy above the lowest structure with this stoichiometry = 56 meV/atom

Unit cell a=4.516 b=4.537 c=6.403 alpha=90.00 beta=90.00 gamma=90.00
Positions (direct):
Br1 0.500 0.500 0.500
Ag1 0.000 0.000 0.000
Sr1 0.500 0.500 0.000
Sr2 0.000 0.000 0.500



[5]
Compound: SrTcAg2Br
Source: the Alexandria database
Functional: PBEsol
Structure: optimized geometry

Values from the calculation:
calculated total energy = -3.21 eV/atom
magnetization = 3.30 μB per formula unit
calculated density = 5.71 g/cm³

Unit cell a=5.022 b=5.022 c=5.551 alpha=90.00 beta=90.00 gamma=90.00
Site moments in Bohr magnetons follow the coordinates.
Positions (direct):
Ag1 0.500 0.000 0.000  -0.01
Ag2 0.000 0.500 0.000  -0.01
Tc1 0.500 0.500 0.500  3.18
Sr1 0.000 0.000 0.500  -0.04
Br1 0.000 0.000 0.000  0.01



[6]
Compound: TaAgBr
Source: the Alexandria database
Functional: PBEsol
Structure: optimized geometry

Values from the calculation:
calculated total energy = -4.98 eV/atom
magnetization = 0.00 μB per formula unit
calculated density = 9.88 g/cm³

Unit cell a=4.442 b=4.442 c=4.442 alpha=60.00 beta=60.00 gamma=60.00
Positions (direct):
Ta1 0.250 0.250 0.250
Br1 0.500 0.500 0.500
Ag1 0.000 0.000 0.000



[7]
Compound: Tc2AgBr
Source: the Alexandria database
Functional: PBEsol
Structure: optimized geometry

Values from the calculation:
calculated total energy = -6.54 eV/atom
magnetization = 0.00 μB per formula unit
calculated density = 9.37 g/cm³

Unit cell a=2.937 b=2.937 c=7.887 alpha=90.00 beta=90.00 gamma=90.00
Positions (direct):
Tc1 0.000 0.000 0.028
Tc2 0.500 0.500 0.212
Ag1 0.000 0.000 0.473
Br1 0.500 0.500 0.786



[8]
Compound: Ag2TeBr
Source: the Alexandria database
Functional: PBEsol
Structure: optimized geometry

Values from the calculation:
calculated total energy = -2.94 eV/atom
magnetization = 0.00 μB per formula unit
calculated density = 7.36 g/cm³
energy above the lowest structure with this stoichiometry = 174 meV/atom

Unit cell a=3.389 b=4.444 c=6.337 alpha=90.00 beta=90.00 gamma=90.00
Positions (direct):
Ag1 0.000 0.500 0.500
Ag2 0.000 0.000 0.000
Te1 0.500 0.000 0.500
Br1 0.500 0.500 0.000